[1]
# PS6Cl2, relaxed, DFT PBE-GGA
data_PS6Cl2
_chemical_formula_sum 'P2 S12 Cl4'
_cell_length_a 5.125
_cell_length_b 5.734
_cell_length_c 21.672
_cell_angle_alpha 90.00
_cell_angle_beta 99.81
_cell_angle_gamma 90.00
_symmetry_space_group_name_H-M 'P 1 21/c 1'
_symmetry_Int_Tables_number 14
loop_
_symmetry_equiv_pos_as_xyz
'x,y,z'
'-x,-y,-z'
'-x,y+1/2,-z+1/2'
'x,-y+1/2,z+1/2'
loop_
_atom_site_label
_atom_site_type_symbol
_atom_site_fract_x
_atom_site_fract_y
_atom_site_fract_z
P1 P 0.000 0.000 0.000
S1 S 0.122 0.201 0.937
S2 S 0.305 0.239 0.261
S3 S 0.419 0.009 0.701
Cl1 Cl 0.114 0.696 0.944
# Formation energy from raw total energies (eV per atom): 0.12
# Raw total energy (Ha/atom): -0.1340


[2]
# Tb4NdSmEr2, relaxed, DFT PBE-GGA
data_Tb4NdSmEr2
_chemical_formula_sum 'Tb16 Nd4 Sm4 Er8'
_cell_length_a 13.632
_cell_length_b 13.268
_cell_length_c 6.813
_cell_angle_alpha 90.00
_cell_angle_beta 119.98
_cell_angle_gamma 90.00
_symmetry_space_group_name_H-M 'C 1 2/c 1'
_symmetry_Int_Tables_number 15
loop_
_symmetry_equiv_pos_as_xyz
'x,y,z'
'-x,-y,-z'
'-x,y,-z+1/2'
'x,-y,z+1/2'
'x+1/2,y+1/2,z'
'-x+1/2,-y+1/2,-z'
'-x+1/2,y+1/2,-z+1/2'
'x+1/2,-y+1/2,z+1/2'
loop_
_atom_site_label
_atom_site_type_symbol
_atom_site_fract_x
_atom_site_fract_y
_atom_site_fract_z
Tb1 Tb 0.000 0.247 0.002
Tb2 Tb 0.247 0.003 0.498
Nd1 Nd 0.250 0.250 0.000
Sm1 Sm 0.000 0.500 0.000
Er1 Er 0.000 0.000 0.000
Er2 Er 0.250 0.250 0.500
# Raw total energy (Ha/atom): -0.1550


[3]
# PmNd2Er, relaxed, DFT PBE-GGA
data_PmNd2Er
_chemical_formula_sum 'Pm1 Nd2 Er1'
_cell_length_a 5.137
_cell_length_b 5.137
_cell_length_c 5.117
_cell_angle_alpha 90.00
_cell_angle_beta 90.00
_cell_angle_gamma 90.00
_symmetry_space_group_name_H-M 'P 4/m m m'
_symmetry_Int_Tables_number 123
_symmetry_space_group_name_Hall '-P 4 2'
loop_
_atom_site_label
_atom_site_type_symbol
_atom_site_fract_x
_atom_site_fract_y
_atom_site_fract_z
Pm1 Pm 0.000 0.000 0.000
Nd1 Nd 0.000 0.500 0.500
Er1 Er 0.500 0.500 0.000
# Raw total energy (Ha/atom): -0.1726


[4]
# CeUN2, relaxed, DFT PBE-GGA
data_CeUN2
_chemical_formula_sum 'Ce3 U3 N6'
_cell_length_a 3.4925
_cell_length_b 3.4925
_cell_length_c 17.1941
_cell_angle_alpha 90.00
_cell_angle_beta 90.00
_cell_angle_gamma 120.00
_symmetry_space_group_name_H-M 'R -3 m'
_symmetry_Int_Tables_number 166
_symmetry_space_group_name_Hall '-R 3 2"'
loop_
_atom_site_label
_atom_site_type_symbol
_atom_site_fract_x
_atom_site_fract_y
_atom_site_fract_z
Ce1 Ce 0.0000 0.0000 0.0000
U1 U 0.0000 0.0000 0.5000
N1 N 0.0000 0.0000 0.2402
# Formation energy from raw total energies (eV per atom): -1.44
# Raw total energy (Ha/atom): -0.3640


[5]
# NpBiOs, relaxed, DFT PBE-GGA
data_NpBiOs
_chemical_formula_sum 'Np4 Bi4 Os4'
_cell_length_a 8.738
_cell_length_b 4.340
_cell_length_c 8.585
_cell_angle_alpha 90.00
_cell_angle_beta 108.43
_cell_angle_gamma 90.00
_symmetry_space_group_name_H-M 'C 1 2/m 1'
_symmetry_Int_Tables_number 12
loop_
_symmetry_equiv_pos_as_xyz
'x,y,z'
'-x,-y,-z'
'-x,y,-z'
'x,-y,z'
'x+1/2,y+1/2,z'
'-x+1/2,-y+1/2,-z'
'-x+1/2,y+1/2,-z'
'x+1/2,-y+1/2,z'
loop_
_atom_site_label
_atom_site_type_symbol
_atom_site_fract_x
_atom_site_fract_y
_atom_site_fract_z
Np1 Np 0.092 0.000 0.403
Bi1 Bi 0.197 0.500 0.148
Os1 Os 0.141 0.500 0.641
# Raw total energy (Ha/atom): -0.3333


[6]
# TiNbGa3, relaxed, DFT PBE-GGA
data_TiNbGa3
_chemical_formula_sum 'Ti8 Nb8 Ga24'
_cell_length_a 9.815
_cell_length_b 9.675
_cell_length_c 7.056
_cell_angle_alpha 90.00
_cell_angle_beta 90.00
_cell_angle_gamma 90.00
_symmetry_space_group_name_H-M 'C m c e'
_symmetry_Int_Tables_number 64
_symmetry_space_group_name_Hall '-C 2ac 2'
loop_
_atom_site_label
_atom_site_type_symbol
_atom_site_fract_x
_atom_site_fract_y
_atom_site_fract_z
Ti1 Ti 0.250 0.085 0.250
Nb1 Nb 0.000 0.160 0.589
Ga1 Ga 0.000 0.073 0.210
Ga2 Ga 0.174 0.157 0.903
# Raw total energy (Ha/atom): -0.2071


[7]
# TmTh4Co2, relaxed, DFT PBE-GGA
data_TmTh4Co2
_chemical_formula_sum 'Tm2 Th8 Co4'
_cell_length_a 7.049
_cell_length_b 6.775
_cell_length_c 8.367
_cell_angle_alpha 90.00
_cell_angle_beta 112.54
_cell_angle_gamma 90.00
_symmetry_space_group_name_H-M 'P 1 21/m 1'
_symmetry_Int_Tables_number 11
loop_
_symmetry_equiv_pos_as_xyz
'x,y,z'
'-x,-y,-z'
'-x,y+1/2,-z'
'x,-y+1/2,z'
loop_
_atom_site_label
_atom_site_type_symbol
_atom_site_fract_x
_atom_site_fract_y
_atom_site_fract_z
Tm1 Tm 0.005 0.250 0.278
Th1 Th 0.236 0.250 0.705
Th2 Th 0.295 0.501 0.094
Th3 Th 0.339 0.750 0.501
Co1 Co 0.013 0.750 0.142
Co2 Co 0.395 0.750 0.862
# Raw total energy (Ha/atom): -0.2586


[8]
# LaCr3Si, relaxed, DFT PBE-GGA
data_LaCr3Si
_chemical_formula_sum 'La1 Cr3 Si1'
_cell_length_a 4.569
_cell_length_b 4.569
_cell_length_c 4.569
_cell_angle_alpha 90.00
_cell_angle_beta 90.00
_cell_angle_gamma 90.00
_symmetry_space_group_name_H-M 'P m -3 m'
_symmetry_Int_Tables_number 221
_symmetry_space_group_name_Hall '-P 4 2 3'
loop_
_atom_site_label
_atom_site_type_symbol
_atom_site_fract_x
_atom_site_fract_y
_atom_site_fract_z
La1 La 0.000 0.000 0.000
Cr1 Cr 0.000 0.500 0.500
Si1 Si 0.500 0.500 0.500
# Formation energy from raw total energies (eV per atom): 0.55
# Raw total energy (Ha/atom): -0.2681


[9]
# TmThBeAl, relaxed, DFT PBE-GGA
data_TmThBeAl
_chemical_formula_sum 'Tm4 Th4 Be4 Al4'
_cell_length_a 7.110
_cell_length_b 7.110
_cell_length_c 7.110
_cell_angle_alpha 90.00
_cell_angle_beta 90.00
_cell_angle_gamma 90.00
_symmetry_space_group_name_H-M 'F -4 3 m'
_symmetry_Int_Tables_number 216
_symmetry_space_group_name_Hall 'F -4 2 3'
loop_
_atom_site_label
_atom_site_type_symbol
_atom_site_fract_x
_atom_site_fract_y
_atom_site_fract_z
Tm1 Tm 0.000 0.000 0.000
Th1 Th 0.000 0.000 0.500
Be1 Be 0.250 0.250 0.750
Al1 Al 0.250 0.250 0.250
# Raw total energy (Ha/atom): -0.1803


[10]
# LaEuAlAg, relaxed, DFT PBE-GGA
data_LaEuAlAg
_chemical_formula_sum 'La4 Eu4 Al4 Ag4'
_cell_length_a 7.639
_cell_length_b 7.639
_cell_length_c 7.639
_cell_angle_alpha 90.00
_cell_angle_beta 90.00
_cell_angle_gamma 90.00
_symmetry_space_group_name_H-M 'F -4 3 m'
_symmetry_Int_Tables_number 216
_symmetry_space_group_name_Hall 'F -4 2 3'
loop_
_atom_site_label
_atom_site_type_symbol
_atom_site_fract_x
_atom_site_fract_y
_atom_site_fract_z
La1 La 0.000 0.000 0.000
Eu1 Eu 0.000 0.000 0.500
Al1 Al 0.250 0.250 0.750
Ag1 Ag 0.250 0.250 0.250
# Raw total energy (Ha/atom): -0.2101


[11]
# InCu2HgAu, relaxed, DFT PBE-GGA
data_InCu2HgAu
_chemical_formula_sum 'In1 Cu2 Hg1 Au1'
_cell_length_a 4.913
_cell_length_b 4.913
_cell_length_c 5.286
_cell_angle_alpha 90.00
_cell_angle_beta 90.00
_cell_angle_gamma 90.00
_symmetry_space_group_name_H-M 'P 4/m m m'
_symmetry_Int_Tables_number 123
_symmetry_space_group_name_Hall '-P 4 2'
loop_
_atom_site_label
_atom_site_type_symbol
_atom_site_fract_x
_atom_site_fract_y
_atom_site_fract_z
In1 In 0.000 0.000 0.000
Cu1 Cu 0.000 0.500 0.500
Hg1 Hg 0.500 0.500 0.500
Au1 Au 0.500 0.500 0.000
# Raw total energy (Ha/atom): -0.0831


[12]
# NaB4C4, relaxed, DFT PBE-GGA
data_NaB4C4
_chemical_formula_sum 'Na2 B8 C8'
_cell_length_a 10.614
_cell_length_b 10.614
_cell_length_c 2.808
_cell_angle_alpha 90.00
_cell_angle_beta 90.00
_cell_angle_gamma 90.00
_symmetry_space_group_name_H-M 'I 4/m'
_symmetry_Int_Tables_number 87
_symmetry_space_group_name_Hall '-I 4'
loop_
_atom_site_label
_atom_site_type_symbol
_atom_site_fract_x
_atom_site_fract_y
_atom_site_fract_z
Na1 Na 0.000 0.000 0.000
B1 B 0.059 0.753 0.500
C1 C 0.058 0.757 0.000
# Raw total energy (Ha/atom): -0.2364


[13]
# Pr2ThTcN5, relaxed, DFT PBE-GGA
data_Pr2ThTcN5
_chemical_formula_sum 'Pr8 Th4 Tc4 N20'
_cell_length_a 6.784
_cell_length_b 6.784
_cell_length_c 11.565
_cell_angle_alpha 90.00
_cell_angle_beta 90.00
_cell_angle_gamma 90.00
_symmetry_space_group_name_H-M 'I 4/m c m'
_symmetry_Int_Tables_number 140
_symmetry_space_group_name_Hall '-I 4 2c'
loop_
_atom_site_label
_atom_site_type_symbol
_atom_site_fract_x
_atom_site_fract_y
_atom_site_fract_z
Pr1 Pr 0.169 0.331 0.000
Th1 Th 0.000 0.000 0.250
Tc1 Tc 0.000 0.500 0.250
N1 N 0.000 0.000 0.000
N2 N 0.152 0.348 0.351
# Formation energy from raw total energies (eV per atom): -0.93
# Raw total energy (Ha/atom): -0.3157


[14]
# NaLi4Ca3, relaxed, DFT PBE-GGA
data_NaLi4Ca3
_chemical_formula_sum 'Na1 Li4 Ca3'
_cell_length_a 3.922
_cell_length_b 3.922
_cell_length_c 15.970
_cell_angle_alpha 90.00
_cell_angle_beta 90.00
_cell_angle_gamma 90.00
_symmetry_space_group_name_H-M 'P 4/m m m'
_symmetry_Int_Tables_number 123
_symmetry_space_group_name_Hall '-P 4 2'
loop_
_atom_site_label
_atom_site_type_symbol
_atom_site_fract_x
_atom_site_fract_y
_atom_site_fract_z
Na1 Na 0.000 0.000 0.000
Li1 Li 0.500 0.500 0.115
Li2 Li 0.500 0.500 0.373
Ca1 Ca 0.000 0.000 0.248
Ca2 Ca 0.000 0.000 0.500
# Raw total energy (Ha/atom): -0.0676


[15]
# HgRhO, relaxed, DFT PBE-GGA
data_HgRhO
_chemical_formula_sum 'Hg1 Rh1 O1'
_cell_length_a 3.167
_cell_length_b 3.732
_cell_length_c 4.688
_cell_angle_alpha 90.00
_cell_angle_beta 90.00
_cell_angle_gamma 90.00
_symmetry_space_group_name_H-M 'P m m m'
_symmetry_Int_Tables_number 47
loop_
_symmetry_equiv_pos_as_xyz
'x,y,z'
'-x,-y,-z'
'-x,-y,z'
'x,y,-z'
'x,-y,-z'
'-x,y,z'
'-x,y,-z'
'x,-y,z'
loop_
_atom_site_label
_atom_site_type_symbol
_atom_site_fract_x
_atom_site_fract_y
_atom_site_fract_z
Hg1 Hg 0.000 0.000 0.000
Rh1 Rh 0.500 0.000 0.500
O1 O 0.500 0.500 0.500
# Formation energy from raw total energies (eV per atom): -0.24
# Raw total energy (Ha/atom): -0.1633